Entry 1:
{"formula": "Ce6Hg2Pt", "functional": "PBE-GGA", "state": "relaxed", "cell": [[3.633, 0.000, 0.000], [0.000, 8.004, -3.686], [0.000, -0.819, 8.755]], "species": ["Ce", "Pt", "Hg", "Ce", "Ce", "Ce", "Hg", "Ce", "Ce"], "fractional_positions": [[0.000, 0.743, 0.743], [0.500, 0.000, 0.000], [0.000, 0.333, 0.667], [0.500, 0.396, 0.396], [0.000, 0.257, 0.000], [0.000, 0.000, 0.257], [0.000, 0.666, 0.333], [0.500, 0.000, 0.604], [0.500, 0.605, 0.000]], "dos_at_fermi_per_ev_fu": 26.79, "m_tot_mub_per_fu": 5.0, "sg": "Amm2", "e_form_ev_per_atom": -0.357}



Entry 2:
{"formula": "Mg6Ag12Au", "functional": "PBE-GGA", "state": "relaxed", "cell": [[7.044, 0.501, 0.600], [-0.573, 7.039, 0.600], [-0.573, -0.668, 7.033]], "species": ["Mg", "Ag", "Mg", "Au", "Ag", "Mg", "Ag", "Ag", "Ag", "Ag", "Ag", "Ag", "Ag", "Ag", "Ag", "Mg", "Mg", "Ag", "Mg"], "fractional_positions": [[0.116, 0.731, 0.278], [0.373, 0.035, 0.158], [0.722, 0.884, 0.269], [0.000, 0.000, 0.000], [0.035, 0.158, 0.373], [0.278, 0.116, 0.731], [0.471, 0.561, 0.202], [0.202, 0.471, 0.561], [0.529, 0.439, 0.798], [0.439, 0.798, 0.529], [0.158, 0.373, 0.035], [0.561, 0.202, 0.471], [0.965, 0.842, 0.627], [0.842, 0.627, 0.965], [0.798, 0.529, 0.439], [0.884, 0.269, 0.722], [0.269, 0.722, 0.884], [0.627, 0.965, 0.842], [0.731, 0.278, 0.116]], "dos_at_fermi_per_ev_fu": 4.77, "m_tot_mub_per_fu": 0.0, "sg": "R-3", "e_form_ev_per_atom": -0.145}



Entry 3:
{"formula": "RbBr2F11", "functional": "PBE-GGA", "state": "relaxed", "cell": [[8.708, 0.000, 4.539], [3.975, 7.468, 2.998], [0.882, 0.112, 8.931]], "species": ["F", "F", "Rb", "Br", "F", "F", "F", "F", "F", "F", "F", "F", "F", "F", "F", "Rb", "F", "F", "F", "Br", "F", "F", "Br", "F", "F", "Br", "F", "F"], "fractional_positions": [[0.178, 0.628, 0.138], [0.000, 0.000, 0.000], [0.250, 0.250, 0.250], [0.652, 0.657, 0.343], [0.723, 0.288, 0.712], [0.444, 0.872, 0.362], [0.777, 0.788, 0.212], [0.638, 0.689, 0.545], [0.127, 0.545, 0.689], [0.556, 0.128, 0.638], [0.223, 0.212, 0.788], [0.822, 0.372, 0.862], [0.678, 0.638, 0.128], [0.944, 0.862, 0.372], [0.362, 0.311, 0.455], [0.750, 0.750, 0.750], [0.277, 0.712, 0.288], [0.373, 0.811, 0.955], [0.056, 0.138, 0.628], [0.152, 0.843, 0.157], [0.862, 0.955, 0.811], [0.627, 0.189, 0.045], [0.348, 0.343, 0.657], [0.873, 0.455, 0.311], [0.500, 0.500, 0.500], [0.848, 0.157, 0.843], [0.322, 0.362, 0.872], [0.138, 0.045, 0.189]], "dos_at_fermi_per_ev_fu": 0.00, "m_tot_mub_per_fu": 0.0, "sg": "Ibam", "raw_formation_energy_ev_per_atom": -1.30}



Entry 4:
{"formula": "Ba2Li3Sb4Pb", "functional": "PBE-GGA", "state": "relaxed", "cell": [[4.884, 0.000, 0.000], [0.000, 4.884, 0.000], [0.000, 0.000, 12.392]], "species": ["Sb", "Li", "Li", "Ba", "Pb", "Li", "Sb", "Sb", "Sb", "Ba"], "fractional_positions": [[0.500, 0.500, 0.000], [0.500, 0.000, 0.882], [0.000, 0.500, 0.118], [0.000, 0.500, 0.773], [0.500, 0.500, 0.500], [0.000, 0.000, 0.500], [0.000, 0.000, 0.000], [0.000, 0.500, 0.341], [0.500, 0.000, 0.659], [0.500, 0.000, 0.227]], "dos_at_fermi_per_ev_fu": 4.16, "m_tot_mub_per_fu": 0.0, "sg": "P-4m2", "raw_formation_energy_ev_per_atom": -0.69}



Entry 5:
{"formula": "GdThTlAg", "functional": "PBE-GGA", "state": "relaxed", "cell": [[-5.202, 1.065, -0.842], [-3.752, -3.515, 1.572], [-3.210, 1.171, 4.151]], "species": ["Th", "Tl", "Gd", "Ag"], "fractional_positions": [[0.500, 0.500, 0.500], [0.750, 0.750, 0.750], [0.000, 0.000, 0.000], [0.250, 0.250, 0.250]], "dos_at_fermi_per_ev_fu": 3.20, "m_tot_mub_per_fu": 8.1, "sg": "F-43m", "e_form_ev_per_atom": -0.185}



Entry 6:
{"formula": "KHf5S8", "functional": "PBE-GGA", "state": "relaxed", "cell": [[-0.269, 0.240, -3.562], [7.011, -6.205, -0.948], [-7.522, -5.257, 2.014]], "species": ["Hf", "K", "Hf", "S", "Hf", "S", "S", "Hf", "S", "S", "S", "S", "Hf", "S"], "fractional_positions": [[0.000, 0.000, 0.000], [0.500, 0.500, 0.000], [0.667, 0.992, 0.333], [0.088, 0.828, 0.176], [0.293, 0.649, 0.585], [0.577, 0.163, 0.154], [0.841, 0.505, 0.683], [0.707, 0.352, 0.415], [0.242, 0.175, 0.484], [0.159, 0.495, 0.317], [0.423, 0.837, 0.846], [0.758, 0.825, 0.516], [0.333, 0.008, 0.667], [0.912, 0.172, 0.824]], "dos_at_fermi_per_ev_fu": 5.73, "m_tot_mub_per_fu": 0.0, "sg": "Cm", "raw_formation_energy_ev_per_atom": -1.55}



Entry 7:
{"formula": "Pm4Pr3Pd4", "functional": "PBE-GGA", "state": "relaxed", "cell": [[4.901, 0.000, 0.000], [0.000, 7.706, 0.000], [-2.450, -3.853, 7.964]], "species": ["Pr", "Pm", "Pd", "Pm", "Pd", "Pm", "Pd", "Pr", "Pr", "Pm", "Pd"], "fractional_positions": [[0.000, 0.500, 0.000], [0.330, 0.550, 0.659], [0.500, 0.817, 0.000], [0.670, 0.450, 0.341], [0.798, 0.298, 0.595], [0.330, 0.109, 0.659], [0.500, 0.183, 0.000], [0.899, 0.899, 0.799], [0.101, 0.101, 0.201], [0.670, 0.891, 0.341], [0.202, 0.702, 0.405]], "dos_at_fermi_per_ev_fu": 11.67, "m_tot_mub_per_fu": 0.0, "sg": "Immm", "e_form_ev_per_atom": -0.507}



Entry 8:
{"formula": "CrGaAs", "functional": "PBE-GGA", "state": "relaxed", "cell": [[-0.231, -2.270, -1.696], [4.402, -0.594, 0.197], [-0.466, -2.377, 3.244]], "species": ["Cr", "Ga", "As"], "fractional_positions": [[0.500, 0.500, 0.000], [0.000, 0.000, 0.000], [0.000, 0.500, 0.500]], "dos_at_fermi_per_ev_fu": 2.42, "m_tot_mub_per_fu": 1.5, "sg": "Pmmm", "e_form_ev_per_atom": 0.139}



Entry 9:
{"formula": "Be3Fe5", "functional": "PBE-GGA", "state": "relaxed", "cell": [[2.565, 0.000, 0.000], [0.000, 2.565, 0.000], [0.000, 0.000, 11.245]], "species": ["Fe", "Be", "Fe", "Fe", "Be", "Be", "Fe", "Fe"], "fractional_positions": [[0.000, 0.000, 0.753], [0.000, 0.000, 0.500], [0.000, 0.000, 0.247], [0.000, 0.000, 0.000], [0.500, 0.500, 0.874], [0.500, 0.500, 0.126], [0.500, 0.500, 0.621], [0.500, 0.500, 0.379]], "dos_at_fermi_per_ev_fu": 6.27, "m_tot_mub_per_fu": 1.5, "sg": "P4/mmm", "e_form_ev_per_atom": -0.106}



Entry 10:
{"formula": "Er2TeI", "functional": "PBE-GGA", "state": "relaxed", "cell": [[-1.559, -0.525, 3.712], [-6.164, -2.428, -2.932], [3.363, -8.800, 0.173]], "species": ["Er", "Er", "Te", "I", "Te", "Er", "I", "Er"], "fractional_positions": [[0.702, 0.500, 0.690], [0.202, 0.188, 0.919], [0.201, 0.951, 0.194], [0.700, 0.296, 0.416], [0.701, 0.451, 0.022], [0.701, 0.687, 0.297], [0.201, 0.797, 0.801], [0.200, 0.998, 0.525]], "dos_at_fermi_per_ev_fu": 3.72, "m_tot_mub_per_fu": 0.4, "sg": "Pm", "raw_formation_energy_ev_per_atom": -0.73}



Entry 11:
{"formula": "CsLiLaBr", "functional": "PBE-GGA", "state": "relaxed", "cell": [[-0.251, -3.289, 2.573], [4.073, -0.762, -0.577], [4.331, 11.607, 15.264]], "species": ["Br", "La", "Li", "Li", "Cs", "Cs", "La", "Br"], "fractional_positions": [[0.000, 0.000, 0.487], [0.000, 0.000, 0.337], [0.500, 0.500, 0.247], [0.000, 0.000, 0.747], [0.000, 0.000, 0.088], [0.500, 0.500, 0.588], [0.500, 0.500, 0.837], [0.500, 0.500, 0.987]], "dos_at_fermi_per_ev_fu": 3.84, "m_tot_mub_per_fu": 0.9, "sg": "I4mm", "raw_formation_energy_ev_per_atom": -0.50}



Entry 12:
{"formula": "HoSi2Pb2Au7", "functional": "PBE-GGA", "state": "relaxed", "cell": [[-1.476, -3.783, 1.558], [3.554, -2.003, -1.508], [7.828, -0.203, 12.723]], "species": ["Pb", "Au", "Au", "Au", "Au", "Ho", "Si", "Au", "Pb", "Au", "Si", "Au"], "fractional_positions": [[0.200, 0.200, 0.592], [0.069, 0.570, 0.855], [0.430, 0.931, 0.145], [0.308, 0.308, 0.394], [0.500, 0.500, 0.000], [0.000, 0.000, 0.000], [0.609, 0.609, 0.771], [0.692, 0.692, 0.606], [0.800, 0.800, 0.408], [0.931, 0.430, 0.145], [0.391, 0.391, 0.229], [0.570, 0.069, 0.855]], "dos_at_fermi_per_ev_fu": 3.46, "m_tot_mub_per_fu": 0.0, "sg": "C2/m", "raw_formation_energy_ev_per_atom": -0.21}